LiMg2Cr | PBE | optimized geometry

Output
E	-0.1225	Ha/atom
total magnetic moment	0.0	μB/f.u.

Cell lengths 2.736, 2.736, 9.288 Å; angles 90.00, 90.00, 98.66 degrees
Sites, in units of the cell vectors:
Mg 0.000 0.000 0.020
Li 0.500 0.500 0.750
Cr 0.500 0.500 0.250
Mg 0.000 0.000 0.480

---

Mn2BeCu | PBE | optimized geometry

Output
E	-0.2345	Ha/atom
total magnetic moment	1.7	μB/f.u.

Cell lengths 3.763, 2.407, 5.120 Å; angles 65.69, 90.00, 90.00 degrees
Each line ends with the local moment (μB).
Sites, in units of the cell vectors:
Cu 0.500 0.750 0.750  0.01
Be 0.500 0.250 0.250  -0.04
Mn 0.000 0.001 0.021  0.88
Mn 0.000 0.499 0.479  0.88

---

Tb5Ho4Tc2 | PBE | optimized geometry

Output
E	-0.2059	Ha/atom
total magnetic moment	0.0	μB/f.u.

Cell lengths 3.625, 8.382, 10.356 Å; angles 91.51, 90.00, 90.00 degrees
Sites, in units of the cell vectors:
Ho 0.500 0.820 0.146
Tb 0.000 0.437 0.660
Tb 0.000 0.839 0.844
Tb 0.000 0.563 0.340
Tb 0.000 0.161 0.156
Tc 0.000 0.922 0.345
Tb 0.000 0.500 0.000
Ho 0.500 0.183 0.450
Ho 0.500 0.817 0.550
Ho 0.500 0.180 0.854
Tc 0.000 0.078 0.655

---

As4Br | PBE | optimized geometry

Output
E	-0.1151	Ha/atom
ΔE_f (raw)	923.4	meV/atom
polymorph energy (0 for the lowest one)	4.24	eV/f.u.
total magnetic moment	0.0	μB/f.u.

Cell lengths 5.444, 5.444, 5.444 Å; angles 109.47, 109.47, 109.47 degrees
Sites, in units of the cell vectors:
Br 0.000 0.000 0.000
As 0.000 0.500 0.000
As 0.500 0.000 0.000
As 0.000 0.000 0.500
As 0.500 0.500 0.500

---

Cr2RuCl | PBE | optimized geometry

Output
E	-0.2681	Ha/atom
ΔE_f (raw)	297.9	meV/atom
polymorph energy (0 for the lowest one)	0.40	eV/f.u.
total magnetic moment	2.1	μB/f.u.

Cell lengths 2.958, 2.958, 6.911 Å; angles 90.00, 90.00, 90.00 degrees
Each line ends with the local moment (μB).
Sites, in units of the cell vectors:
Cl 0.500 0.500 0.775  0.03
Cr 0.000 0.000 0.024  3.07
Ru 0.000 0.000 0.444  0.32
Cr 0.500 0.500 0.256  -1.46

---

ThAlTl2Te5 | PBE | optimized geometry

Output
E	-0.1507	Ha/atom
ΔE_f (raw)	-589.5	meV/atom
total magnetic moment	0.0	μB/f.u.

Cell lengths 4.318, 10.462, 14.670 Å; angles 90.00, 90.00, 101.91 degrees
Sites, in units of the cell vectors:
Tl 0.107 0.214 0.341
Te 0.959 0.918 0.528
Te 0.703 0.405 0.184
Te 0.297 0.595 0.684
Te 0.650 0.300 0.502
Tl 0.893 0.786 0.841
Te 0.350 0.700 0.002
Te 0.310 0.619 0.377
Al 0.436 0.871 0.421
Te 0.499 0.999 0.267
Te 0.501 0.001 0.767
Th 0.800 0.600 0.535
Te 0.041 0.082 0.028
Al 0.564 0.129 0.921
Te 0.690 0.381 0.877
Th 0.200 0.400 0.035
Tl 0.125 0.249 0.669
Tl 0.875 0.751 0.169

---

BeFeRe2 | PBE | optimized geometry

Output
E	-0.3331	Ha/atom
total magnetic moment	1.3	μB/f.u.

Cell lengths 4.498, 4.498, 2.646 Å; angles 90.00, 90.00, 109.49 degrees
Each line ends with the local moment (μB).
Sites, in units of the cell vectors:
Re 0.000 0.000 0.000  -0.04
Be 0.500 0.000 0.500  -0.01
Re 0.500 0.500 0.000  -0.04
Fe 0.000 0.500 0.500  1.35

---

TaAlOs2 | PBE | optimized geometry

Output
E	-0.3605	Ha/atom
polymorph energy (0 for the lowest one)	1.02	eV/f.u.
total magnetic moment	0.0	μB/f.u.

Cell lengths 5.059, 5.059, 4.428 Å; angles 70.25, 70.25, 35.15 degrees
Sites, in units of the cell vectors:
Ta 0.502 0.502 0.450
Al 0.742 0.742 0.806
Os 0.253 0.253 0.305
Os 0.002 0.002 0.939